(1)
Computed, not measured: a relaxed Fe6CoNi3 crystal at the PBE level of DFT.

```
data_Fe6CoNi3
_chemical_formula_sum 'Fe12 Co2 Ni6'
_space_group_name_H-M_alt 'P 1'
_space_group_IT_number 1
_space_group_name_Hall 'P 1'
_cell_length_a 6.322
_cell_length_b 6.322
_cell_length_c 6.322
_cell_angle_alpha 102.27
_cell_angle_beta 102.27
_cell_angle_gamma 102.27
loop_
_atom_site_label
_atom_site_fract_x
_atom_site_fract_y
_atom_site_fract_z
Ni1 0.166 0.166 0.421
Ni2 0.834 0.834 0.579
Fe1 0.598 0.177 0.598
Ni3 0.166 0.421 0.166
Fe2 0.402 0.402 0.823
Fe3 0.000 0.260 0.740
Fe4 0.260 0.000 0.740
Fe5 0.598 0.598 0.177
Fe6 0.260 0.740 0.000
Fe7 0.402 0.823 0.402
Fe8 0.823 0.402 0.402
Co1 0.500 0.500 0.500
Ni4 0.421 0.166 0.166
Ni5 0.834 0.579 0.834
Fe9 0.177 0.598 0.598
Co2 0.000 0.000 0.000
Fe10 0.740 0.000 0.260
Fe11 0.000 0.740 0.260
Ni6 0.579 0.834 0.834
Fe12 0.740 0.260 0.000
```

Output
Space-group type: R-3m (166)
M_tot (μB per atom): 1.875
E above lowest polymorph (eV per atom): 0.0000
DOS(E_F) (states/eV/cell): 20.0
DFT formation energy (kJ/mol of formula units): 97



(2)
Computed, not measured: a relaxed FeCoNi crystal at the PBE level of DFT.

```
data_FeCoNi
_chemical_formula_sum 'Fe2 Co2 Ni2'
_space_group_name_H-M_alt 'P 1'
_space_group_IT_number 1
_space_group_name_Hall 'P 1'
_cell_length_a 2.424
_cell_length_b 4.080
_cell_length_c 7.482
_cell_angle_alpha 90.00
_cell_angle_beta 90.00
_cell_angle_gamma 107.28
loop_
_atom_site_label
_atom_site_fract_x
_atom_site_fract_y
_atom_site_fract_z
Ni1 0.581 0.162 0.000
Co1 0.576 0.152 0.663
Co2 0.576 0.152 0.337
Fe1 0.314 0.627 0.830
Ni2 0.306 0.611 0.500
Fe2 0.314 0.627 0.170
```

Output
Space-group type: Amm2 (38)
M_tot (μB per atom): 1.641
E above lowest polymorph (eV per atom): 0.2258
DOS(E_F) (states/eV/cell): 5.7
DFT formation energy (kJ/mol of formula units): 66



(3)
Computed, not measured: a relaxed Fe3Co6Ni crystal at the PBE level of DFT.

```
data_Fe3Co6Ni
_chemical_formula_sum 'Fe3 Co6 Ni1'
_space_group_name_H-M_alt 'P 1'
_space_group_IT_number 1
_space_group_name_Hall 'P 1'
_cell_length_a 2.492
_cell_length_b 8.474
_cell_length_c 8.474
_cell_angle_alpha 119.05
_cell_angle_beta 95.63
_cell_angle_gamma 95.63
loop_
_atom_site_label
_atom_site_fract_x
_atom_site_fract_y
_atom_site_fract_z
Co1 0.876 0.245 0.245
Co2 0.373 0.274 0.000
Co3 0.631 0.755 0.000
Fe1 0.002 0.514 0.000
Ni1 0.187 0.000 0.000
Fe2 0.002 0.000 0.514
Fe3 0.488 0.486 0.486
Co4 0.631 0.000 0.755
Co5 0.373 0.000 0.274
Co6 0.099 0.726 0.726
```

Output
Space-group type: R3m (160)
M_tot (μB per atom): 1.927
DOS(E_F) (states/eV/cell): 12.9
DFT formation energy (kJ/mol of formula units): 643



(4)
Computed, not measured: a relaxed FeCoNi crystal at the PBE level of DFT.

```
data_FeCoNi
_chemical_formula_sum 'Fe1 Co1 Ni1'
_space_group_name_H-M_alt 'P 1'
_space_group_IT_number 1
_space_group_name_Hall 'P 1'
_cell_length_a 5.700
_cell_length_b 5.699
_cell_length_c 2.489
_cell_angle_alpha 77.39
_cell_angle_beta 77.38
_cell_angle_gamma 25.23
loop_
_atom_site_label
_atom_site_fract_x
_atom_site_fract_y
_atom_site_fract_z
Fe1 0.333 0.333 0.667
Ni1 0.664 0.664 0.336
Co1 0.003 0.003 0.997
```

Output
Space-group type: I4mm (107)
M_tot (μB per atom): 1.611
E above lowest polymorph (eV per atom): 0.0000
DOS(E_F) (states/eV/cell): 3.6
DFT formation energy (kJ/mol of formula units): 1



(5)
Computed, not measured: a relaxed Fe6CoNi2 crystal at the PBE level of DFT.

```
data_Fe6CoNi2
_chemical_formula_sum 'Fe12 Co2 Ni4'
_space_group_name_H-M_alt 'P 1'
_space_group_IT_number 1
_space_group_name_Hall 'P 1'
_cell_length_a 4.177
_cell_length_b 8.409
_cell_length_c 8.409
_cell_angle_alpha 49.84
_cell_angle_beta 72.08
_cell_angle_gamma 72.08
loop_
_atom_site_label
_atom_site_fract_x
_atom_site_fract_y
_atom_site_fract_z
Ni1 0.518 0.827 0.664
Fe1 0.408 0.341 0.496
Fe2 0.318 0.005 0.827
Ni2 0.018 0.664 0.827
Fe3 0.682 0.995 0.173
Ni3 0.982 0.336 0.173
Ni4 0.482 0.173 0.336
Fe4 0.092 0.504 0.659
Fe5 0.592 0.659 0.504
Fe6 0.563 0.411 0.925
Fe7 0.937 0.075 0.589
Fe8 0.063 0.925 0.411
Fe9 0.182 0.173 0.995
Co1 0.750 0.243 0.757
Co2 0.250 0.757 0.243
Fe10 0.818 0.827 0.005
Fe11 0.437 0.589 0.075
Fe12 0.908 0.496 0.341
```

Output
Space-group type: C2/c (15)
M_tot (μB per atom): 2.055
DOS(E_F) (states/eV/cell): 20.9
DFT formation energy (kJ/mol of formula units): 152



(6)
Computed, not measured: a relaxed Fe2Co3Ni4 crystal at the PBE level of DFT.

```
data_Fe2Co3Ni4
_chemical_formula_sum 'Fe2 Co3 Ni4'
_space_group_name_H-M_alt 'P 1'
_space_group_IT_number 1
_space_group_name_Hall 'P 1'
_cell_length_a 3.497
_cell_length_b 5.627
_cell_length_c 6.663
_cell_angle_alpha 115.54
_cell_angle_beta 74.79
_cell_angle_gamma 71.90
loop_
_atom_site_label
_atom_site_fract_x
_atom_site_fract_y
_atom_site_fract_z
Co1 0.442 0.446 0.670
Co2 0.000 0.000 0.000
Fe1 0.227 0.217 0.329
Ni1 0.888 0.889 0.334
Fe2 0.773 0.783 0.671
Ni2 0.334 0.333 0.998
Co3 0.558 0.554 0.330
Ni3 0.112 0.111 0.666
Ni4 0.666 0.667 0.002
```

Output
Space-group type: C2/m (12)
M_tot (μB per atom): 1.397
DOS(E_F) (states/eV/cell): 9.1
DFT formation energy (kJ/mol of formula units): -18



| no. | theoretical density (g/cm³) |
| --- | --- |
| 1 | 8.2 |
| 2 | 8.2 |
| 3 | 6.3 |
| 4 | 8.6 |
| 5 | 8.0 |
| 6 | 8.7 |